# 1
Sm4TlHg | PBE | optimized geometry

```
data_Sm4TlHg
_symmetry_space_group_name_H-M 'C 1 m 1'
_symmetry_Int_Tables_number 8
_symmetry_space_group_name_Hall 'C -2y'
_cell_length_a 12.507
_cell_length_b 3.677
_cell_length_c 9.105
_cell_angle_alpha 90.00
_cell_angle_beta 117.94
_cell_angle_gamma 90.00
loop_
_atom_site_label
_atom_site_type_symbol
_atom_site_fract_x
_atom_site_fract_y
_atom_site_fract_z
Sm1 Sm 0.000 0.000 0.000
Sm2 Sm 0.026 0.500 0.359
Sm3 Sm 0.264 0.500 0.275
Sm4 Sm 0.291 0.000 0.629
Tl1 Tl 0.261 0.000 0.967
Hg1 Hg 0.018 0.000 0.647
```

Output
For the distance to the lowest polymorph of the same formula, the calculation gives 0.0 meV per atom. Its density of states at the Fermi level is 6.243 states/eV/f.u. The value obtained for the total moment is 0.000 μB/cell.

---

# 2
ScCo2Hg | PBE | optimized geometry

```
data_ScCo2Hg
_symmetry_space_group_name_H-M 'I -4 m 2'
_symmetry_Int_Tables_number 119
_symmetry_space_group_name_Hall 'I -4 -2'
_cell_length_a 3.831
_cell_length_b 3.831
_cell_length_c 8.354
_cell_angle_alpha 90.00
_cell_angle_beta 90.00
_cell_angle_gamma 90.00
loop_
_atom_site_label
_atom_site_type_symbol
_atom_site_fract_x
_atom_site_fract_y
_atom_site_fract_z
Sc1 Sc 0.000 0.000 0.000
Co1 Co 0.000 0.000 0.500
Co2 Co 0.000 0.500 0.750
Hg1 Hg 0.000 0.500 0.250
```

Output
Its density of states at the Fermi level is 5.420 states/eV/f.u. The value obtained for the total moment is 3.518 μB/cell.

---

# 3
NpInCoNi | PBE | optimized geometry

```
data_NpInCoNi
_symmetry_space_group_name_H-M 'F -4 3 m'
_symmetry_Int_Tables_number 216
_symmetry_space_group_name_Hall 'F -4 2 3'
_cell_length_a 6.481
_cell_length_b 6.481
_cell_length_c 6.481
_cell_angle_alpha 90.00
_cell_angle_beta 90.00
_cell_angle_gamma 90.00
loop_
_atom_site_label
_atom_site_type_symbol
_atom_site_fract_x
_atom_site_fract_y
_atom_site_fract_z
Np1 Np 0.000 0.000 0.000
In1 In 0.000 0.000 0.500
Co1 Co 0.250 0.250 0.750
Ni1 Ni 0.250 0.250 0.250
```

Output
Its density of states at the Fermi level is 7.074 states/eV/f.u. The value obtained for the total moment is 9.932 μB/cell.

---

Number 1: formation enthalpy at 0 K -0.151 eV per atom. Number 2: formation enthalpy at 0 K 0.029 eV per atom. Number 3: formation enthalpy at 0 K 0.047 eV per atom.